{"formula": "Dy2C5", "functional": "PBE-GGA", "state": "optimized geometry", "lattice": [[-2.179, 3.034, 3.291], [2.179, -3.034, 3.291], [2.179, 3.034, -3.291]], "species": ["Dy", "Dy", "C", "C", "C", "C", "C"], "fractional_positions": [[0.248, 0.248, 0.000], [0.752, 0.752, 0.000], [0.000, 0.500, 0.500], [0.217, 0.500, 0.717], [0.392, 0.000, 0.392], [0.608, 0.000, 0.608], [0.783, 0.500, 0.283]], "sg": "No. 71", "e_tot_ev_per_atom": -7.56}



{"formula": "LaPrAg2Sb4", "functional": "PBE-GGA", "state": "optimized geometry", "lattice": [[4.434, 0.000, 0.000], [0.000, 4.434, 0.000], [0.000, 0.000, 10.716]], "species": ["La", "Pr", "Ag", "Ag", "Sb", "Sb", "Sb", "Sb"], "fractional_positions": [[0.000, 0.000, 0.000], [0.500, 0.500, 0.478], [0.000, 0.500, 0.738], [0.500, 0.000, 0.738], [0.000, 0.000, 0.564], [0.000, 0.500, 0.241], [0.500, 0.000, 0.241], [0.500, 0.500, 0.913]], "sg": "No. 99", "e_tot_ev_per_atom": -4.70}



{"formula": "SiAu3S4", "functional": "PBE-GGA", "state": "optimized geometry", "lattice": [[-2.791, 2.791, 5.557], [2.791, -2.791, 5.557], [2.791, 2.791, -5.557]], "species": ["Si", "Au", "Au", "Au", "S", "S", "S", "S"], "fractional_positions": [[0.000, 0.000, 0.000], [0.250, 0.750, 0.500], [0.500, 0.500, 0.000], [0.750, 0.250, 0.500], [0.111, 0.111, 0.448], [0.336, 0.889, 0.000], [0.664, 0.664, 0.552], [0.889, 0.336, 0.000]], "sg": "No. 121", "e_tot_ev_per_atom": -4.06}



{"formula": "PrPbAu", "functional": "PBE-GGA", "state": "optimized geometry", "lattice": [[4.889, 0.000, 0.000], [-2.444, 4.234, 0.000], [0.000, 0.000, 7.723]], "species": ["Pr", "Pr", "Pb", "Pb", "Au", "Au"], "fractional_positions": [[0.000, 0.000, 0.000], [0.000, 0.000, 0.500], [0.333, 0.667, 0.224], [0.667, 0.333, 0.724], [0.333, 0.667, 0.820], [0.667, 0.333, 0.320]], "sg": "No. 186", "e_tot_ev_per_atom": -4.58}



{"formula": "Sc2Ta2O5", "functional": "PBE-GGA", "state": "optimized geometry", "lattice": [[3.397, 0.000, 0.000], [0.000, 3.397, 0.000], [0.000, 0.000, 9.346]], "species": ["Sc", "Sc", "Ta", "Ta", "O", "O", "O", "O", "O"], "fractional_positions": [[0.000, 0.000, 0.235], [0.000, 0.000, 0.765], [0.500, 0.500, 0.000], [0.500, 0.500, 0.500], [0.000, 0.000, 0.000], [0.000, 0.500, 0.370], [0.000, 0.500, 0.630], [0.500, 0.000, 0.370], [0.500, 0.000, 0.630]], "sg": "No. 123", "relative_energy_ev_per_atom": 0.000}



{"formula": "ZnGaFeAu", "functional": "PBE-GGA", "state": "optimized geometry", "lattice": [[0.000, 3.090, 3.090], [3.090, 0.000, 3.090], [3.090, 3.090, 0.000]], "species": ["Zn", "Ga", "Fe", "Au"], "fractional_positions": [[0.000, 0.000, 0.000], [0.500, 0.500, 0.500], [0.750, 0.750, 0.750], [0.250, 0.250, 0.250]], "sg": "No. 216", "relative_energy_ev_per_atom": 0.000}



{"formula": "Te3Mo2", "functional": "PBE-GGA", "state": "optimized geometry", "lattice": [[0.000, 5.413, 11.472], [3.958, 0.000, 11.472], [3.958, 5.413, 0.000]], "species": ["Te", "Te", "Te", "Te", "Te", "Te", "Te", "Te", "Te", "Te", "Te", "Te", "Mo", "Mo", "Mo", "Mo", "Mo", "Mo", "Mo", "Mo"], "fractional_positions": [[0.020, 0.559, 0.241], [0.075, 0.675, 0.675], [0.241, 0.679, 0.020], [0.321, 0.759, 0.441], [0.325, 0.925, 0.925], [0.441, 0.980, 0.321], [0.559, 0.020, 0.679], [0.675, 0.075, 0.075], [0.679, 0.241, 0.559], [0.759, 0.321, 0.980], [0.925, 0.325, 0.325], [0.980, 0.441, 0.759], [0.115, 0.115, 0.635], [0.318, 0.318, 0.432], [0.365, 0.365, 0.885], [0.432, 0.432, 0.318], [0.568, 0.568, 0.682], [0.635, 0.635, 0.115], [0.682, 0.682, 0.568], [0.885, 0.885, 0.365]], "sg": "No. 70", "relative_energy_ev_per_atom": 0.079}



{"formula": "YHfFeSn", "functional": "PBE-GGA", "state": "optimized geometry", "lattice": [[0.000, 3.399, 3.399], [3.399, 0.000, 3.399], [3.399, 3.399, 0.000]], "species": ["Y", "Hf", "Fe", "Sn"], "fractional_positions": [[0.000, 0.000, 0.000], [0.750, 0.750, 0.750], [0.500, 0.500, 0.500], [0.250, 0.250, 0.250]], "sg": "No. 216", "relative_energy_ev_per_atom": 0.000}



Question: Number 4 is which compound?
Answer: PrPbAu



Question: Which formula does entry 5 have?
Answer: Sc2Ta2O5